A plane-wave DFT calculation with PBE was carried out for a geometry-optimized CaMoPt structure.

The structure in CIF format:
```
data_CaMoPt
_chemical_formula_sum 'Ca2 Mo2 Pt2'
_space_group_name_H-M_alt 'P 1'
_space_group_IT_number 1
_cell_length_a 3.3861
_cell_length_b 4.4681
_cell_length_c 8.6757
_cell_angle_alpha 104.84
_cell_angle_beta 101.11
_cell_angle_gamma 90.01
loop_
_space_group_symop_operation_xyz
'x,y,z'
loop_
_atom_site_label
_atom_site_type_symbol
_atom_site_fract_x
_atom_site_fract_y
_atom_site_fract_z
Ca1 Ca 0.0000 0.0000 0.0000
Ca2 Ca 0.3532 0.3560 0.7120
Mo1 Mo 0.1770 0.8095 0.3562
Mo2 Mo 0.6767 0.2133 0.3559
Pt1 Pt 0.5550 0.5544 0.1100
Pt2 Pt 0.7987 0.8008 0.6024
```

Offset from the most stable computed form ... 0.048 eV per atom
ΔH_f (0 K) ... -0.232 eV/atom
Density of states at the Fermi level ... 4.7 states/eV per cell
Uncorrected energy ... -6.523 eV per atom